Entry 1:
# CsSe2S

CsSe2S at its PBEsol-relaxed geometry (SCAN, Alexandria).

V	33.8	A^3/atom
uncorrected formation energy	-47.01	kJ/mol of atoms
electronic total energy	-22.386	eV per atom

Cell lengths 5.7850, 5.7850, 16.1765 Å; angles 90.00, 90.00, 90.00 degrees
Space group I4_1/amd (No. 141, origin choice 2)
Inequivalent atoms, fractional coordinates:
Cs 0.0000 0.2500 0.3750 [4 per cell]
Se 0.0000 0.0000 0.0000 [8 per cell]
S 0.0000 0.2500 0.8750 [4 per cell]

Entry 2:
# Ti2SnH2

Ti2SnH2 at its PBEsol-relaxed geometry (SCAN, Alexandria).

V	11.3	A^3/atom
electronic total energy	-15.467	eV per atom

Cell lengths 3.5378, 3.5378, 9.0202 Å; angles 90.00, 90.00, 90.00 degrees
Space group I4/mmm (No. 139)
Inequivalent atoms, fractional coordinates:
Ti 0.0000 0.0000 0.1705 [4 per cell]
Sn 0.0000 0.0000 0.5000 [2 per cell]
H 0.0000 0.5000 0.2500 [4 per cell]

Entry 3:
# Hf9CoMo4

Hf9CoMo4 at its PBEsol-relaxed geometry (SCAN, Alexandria).

V	18.8	A^3/atom
formation energy	-0.17	eV/atom
electronic total energy	-51.659	eV per atom

Cell lengths 8.5595, 8.5595, 8.3181 Å; angles 90.00, 90.00, 120.00 degrees
Space group P6_3/mmc (No. 194)
Inequivalent atoms, fractional coordinates:
Hf 0.0848 0.5424 0.2500 [6 per cell]
Hf 0.2019 0.4038 0.5579 [12 per cell]
Co 0.3333 0.6667 0.7500 [2 per cell]
Mo 0.0000 0.0000 0.0000 [2 per cell]
Mo 0.1116 0.2232 0.2500 [6 per cell]

Entry 4:
# BaBe4Br

BaBe4Br at its PBEsol-relaxed geometry (SCAN, Alexandria).

V	18.8	A^3/atom
uncorrected formation energy	72.28	kJ/mol of atoms
electronic total energy	-11.988	eV per atom

Cell lengths 7.6739, 7.6739, 7.6739 Å; angles 90.00, 90.00, 90.00 degrees
Space group F-43m (No. 216)
Inequivalent atoms, fractional coordinates:
Ba 0.0000 0.0000 0.0000 [4 per cell]
Be 0.1034 0.1034 0.3966 [16 per cell]
Br 0.2500 0.2500 0.7500 [4 per cell]

Entry 5:
# Rb2HfAs

Rb2HfAs at its PBEsol-relaxed geometry (SCAN, Alexandria).

V	52.3	A^3/atom
formation energy	0.21	eV/atom
electronic total energy	-30.876	eV per atom

Cell lengths 12.8268, 12.8268, 5.0824 Å; angles 90.00, 90.00, 90.00 degrees
Space group I-42d (No. 122)
Inequivalent atoms, fractional coordinates:
Rb 0.0888 0.2500 0.1250 [8 per cell]
Hf 0.0000 0.0000 0.5000 [4 per cell]
As 0.0000 0.0000 0.0000 [4 per cell]

Entry 6:
# Na2PH3O5

Na2PH3O5 at its PBEsol-relaxed geometry (SCAN, Alexandria).

V	10.1	A^3/atom
electronic total energy	-7.387	eV per atom

Cell lengths 5.6470, 5.6816, 7.8716 Å; angles 103.13, 109.46, 101.58 degrees
Space group P-1 (No. 2)
Inequivalent atoms, fractional coordinates:
Na 0.0028 0.1552 0.2097 [2 per cell]
Na 0.2406 0.7845 0.4249 [2 per cell]
P 0.3674 0.4223 0.7089 [2 per cell]
H 0.2543 0.3774 0.9527 [2 per cell]
H 0.3060 0.7809 0.1208 [2 per cell]
H 0.4462 0.0810 0.1739 [2 per cell]
O 0.1994 0.2837 0.8081 [2 per cell]
O 0.2724 0.9446 0.1106 [2 per cell]
O 0.2849 0.6591 0.6903 [2 per cell]
O 0.3042 0.2226 0.5212 [2 per cell]
O 0.3350 0.5077 0.1605 [2 per cell]

Entry 7:
# ZrAg2Sb

ZrAg2Sb at its PBEsol-relaxed geometry (SCAN, Alexandria).

V	19.8	A^3/atom
uncorrected formation energy	-16.22	kJ/mol of atoms
electronic total energy	-32.842	eV per atom

Cell lengths 4.2112, 3.0968, 12.1464 Å; angles 90.00, 90.00, 90.00 degrees
Space group Amm2 (No. 38)
Inequivalent atoms, fractional coordinates:
Zr 0.0000 0.0000 0.0000 [2 per cell]
Ag 0.0000 0.0000 0.2375 [2 per cell]
Ag 0.5000 0.0000 0.6398 [2 per cell]
Sb 0.5000 0.0000 0.3893 [2 per cell]

Entry 8:
# RbBe2P3O10

RbBe2P3O10 at its PBEsol-relaxed geometry (SCAN, Alexandria).

V	13.3	A^3/atom
uncorrected formation energy	-259.13	kJ/mol of atoms
electronic total energy	-10.370	eV per atom

Cell lengths 12.2467, 8.7101, 8.9875 Å; angles 90.00, 117.62, 90.00 degrees
Space group C2/c (No. 15)
Inequivalent atoms, fractional coordinates:
Rb 0.0000 0.1983 0.2500 [4 per cell]
Be 0.2435 0.0431 0.0621 [8 per cell]
P 0.0000 0.3827 0.7500 [4 per cell]
P 0.1821 0.1852 0.7463 [8 per cell]
O 0.0475 0.2719 0.6510 [8 per cell]
O 0.1067 0.4751 0.8762 [8 per cell]
O 0.1700 0.0667 0.8619 [8 per cell]
O 0.1939 0.1156 0.6003 [8 per cell]
O 0.2244 0.1886 0.1627 [8 per cell]

Entry 9:
# ScSe2BrF

ScSe2BrF at its PBEsol-relaxed geometry (SCAN, Alexandria).

V	20.1	A^3/atom
uncorrected formation energy	-44.42	kJ/mol of atoms
electronic total energy	-15.939	eV per atom

Cell lengths 4.3453, 4.3453, 5.3232 Å; angles 90.00, 90.00, 90.00 degrees
Space group P4/mmm (No. 123)
Inequivalent atoms, fractional coordinates:
Sc 0.0000 0.0000 0.0000 [1 per cell]
Se 0.0000 0.5000 0.5000 [2 per cell]
Br 0.5000 0.5000 0.0000 [1 per cell]
F 0.5000 0.5000 0.5000 [1 per cell]

Entry 10:
# ZnCrAu2

ZnCrAu2 at its PBEsol-relaxed geometry (SCAN, Alexandria).

V	15.7	A^3/atom
formation energy	-0.23	eV/atom
electronic total energy	-42.784	eV per atom

Cell lengths 4.1214, 4.1214, 3.6861 Å; angles 90.00, 90.00, 90.00 degrees
Space group P4/mmm (No. 123)
Inequivalent atoms, fractional coordinates:
Zn 0.0000 0.0000 0.0000 [1 per cell]
Cr 0.5000 0.5000 0.0000 [1 per cell]
Au 0.0000 0.5000 0.5000 [2 per cell]

Entry 11:
# SrCdRe2

SrCdRe2 at its PBEsol-relaxed geometry (SCAN, Alexandria).

V	19.0	A^3/atom
formation energy	1.16	eV/atom
electronic total energy	-47.566	eV per atom

Cell lengths 3.9667, 3.9667, 4.8426 Å; angles 90.00, 90.00, 90.00 degrees
Space group P4/mmm (No. 123)
Inequivalent atoms, fractional coordinates:
Sr 0.0000 0.0000 0.0000 [1 per cell]
Cd 0.5000 0.5000 0.0000 [1 per cell]
Re 0.0000 0.5000 0.5000 [2 per cell]

Entry 12:
# BaCdS2

BaCdS2 at its PBEsol-relaxed geometry (SCAN, Alexandria).

V	25.9	A^3/atom
uncorrected formation energy	-150.81	kJ/mol of atoms
electronic total energy	-23.868	eV per atom

Cell lengths 7.1934, 4.1751, 13.8087 Å; angles 90.00, 90.00, 90.00 degrees
Space group Pnma (No. 62)
Inequivalent atoms, fractional coordinates:
Ba 0.1288 0.2500 0.1424 [4 per cell]
Cd 0.1105 0.7500 0.3928 [4 per cell]
S 0.1128 0.2500 0.7452 [4 per cell]
S 0.2327 0.2500 0.4766 [4 per cell]

What did the eighth record say?
# RbBe2P3O10

RbBe2P3O10 at its PBEsol-relaxed geometry (SCAN, Alexandria).

V	13.3	A^3/atom
uncorrected formation energy	-259.13	kJ/mol of atoms
electronic total energy	-10.370	eV per atom

Cell lengths 12.2467, 8.7101, 8.9875 Å; angles 90.00, 117.62, 90.00 degrees
Space group C2/c (No. 15)
Inequivalent atoms, fractional coordinates:
Rb 0.0000 0.1983 0.2500 [4 per cell]
Be 0.2435 0.0431 0.0621 [8 per cell]
P 0.0000 0.3827 0.7500 [4 per cell]
P 0.1821 0.1852 0.7463 [8 per cell]
O 0.0475 0.2719 0.6510 [8 per cell]
O 0.1067 0.4751 0.8762 [8 per cell]
O 0.1700 0.0667 0.8619 [8 per cell]
O 0.1939 0.1156 0.6003 [8 per cell]
O 0.2244 0.1886 0.1627 [8 per cell]

electronic total energy of number 3 (Hf9CoMo4)?
-51.659 eV per atom